This record from the Alexandria database describes an optimized crystal structure of NiPPbO4. The functional is PBE with a Hubbard U.

Cell: 5.514 5.556 7.415 Å, 90.00 116.35 90.00°
Atoms (fractional coordinates):
Ni 0.904 0.750 0.507
Ni 0.096 0.250 0.493
Pb 0.324 0.250 0.114
Pb 0.676 0.750 0.886
P 0.748 0.250 0.672
P 0.252 0.750 0.328
O 0.921 0.479 0.779
O 0.514 0.750 0.302
O 0.701 0.250 0.449
O 0.299 0.750 0.551
O 0.079 0.521 0.221
O 0.079 0.979 0.221
O 0.486 0.250 0.698
O 0.921 0.021 0.779

raw total energy: -6.0215 eV per atom
volume: 101.79 Å³/f.u.
space-group type: P2_1/m (11)